# 1
DFT (PBE) results for a relaxed Tb3ErCu2 crystal.

Values from the calculation:
* ΔH_f (0 K): 2.0 kJ/mol of atoms
* energy relative to the lowest polymorph listed for this composition: 0.1817 eV per atom

abc: 6.784 7.184 8.337
angles: 115.52 114.01 90.00
Positions (direct):
1 Tb 0.767 0.517 0.534
2 Er 0.000 0.000 0.000
3 Tb 0.767 0.017 0.534
4 Cu 0.849 0.141 0.281
5 Cu 0.433 0.641 0.281
6 Tb 0.500 0.750 0.000
7 Tb 0.500 0.250 0.000
8 Cu 0.567 0.359 0.719
9 Cu 0.151 0.859 0.719
10 Tb 0.233 0.983 0.466
11 Er 0.000 0.500 0.000
12 Tb 0.233 0.483 0.466

---

# 2
DFT (PBE) results for a relaxed Tb2Er2Cu3 crystal.

Values from the calculation:
* ΔH_f (0 K): -13.0 kJ/mol of atoms

abc: 4.850 4.850 8.458
angles: 90.01 106.66 119.99
Positions (direct):
1 Tb 0.250 0.125 0.375
2 Er 0.250 0.625 0.876
3 Er 0.750 0.375 0.124
4 Tb 0.750 0.875 0.625
5 Cu 0.502 0.251 0.754
6 Cu 0.498 0.749 0.246
7 Cu 0.000 0.000 0.000

---

# 3
DFT (PBE) results for a relaxed TbEr2Cu3 crystal.

Values from the calculation:
* ΔH_f (0 K): -25.9 kJ/mol of atoms

abc: 3.444 3.444 10.387
angles: 90.00 90.00 90.00
Positions (direct):
1 Tb 0.500 0.500 0.500
2 Cu 0.000 0.000 0.000
3 Er 0.500 0.500 0.835
4 Er 0.500 0.500 0.165
5 Cu 0.000 0.000 0.328
6 Cu 0.000 0.000 0.672

---

# 4
DFT (PBE) results for a relaxed TbErCu crystal.

Values from the calculation:
* ΔH_f (0 K): -14.4 kJ/mol of atoms
* energy relative to the lowest polymorph listed for this composition: 0.0177 eV per atom

abc: 3.680 6.523 6.882
angles: 73.94 74.50 73.58
Positions (direct):
1 Cu 0.690 0.397 0.102
2 Er 0.408 0.020 0.042
3 Er 0.211 0.638 0.816
4 Cu 0.929 0.262 0.757
5 Tb 0.966 0.581 0.366
6 Tb 0.653 0.077 0.493

---

# 5
DFT (PBE) results for a relaxed Tb2ErCu crystal.

Values from the calculation:
* ΔH_f (0 K): -5.5 kJ/mol of atoms
* energy relative to the lowest polymorph listed for this composition: 0.0472 eV per atom

abc: 4.897 6.249 7.577
angles: 90.00 90.00 113.08
Positions (direct):
1 Tb 0.647 0.294 0.468
2 Tb 0.647 0.294 0.032
3 Er 0.044 0.087 0.750
4 Tb 0.353 0.706 0.968
5 Cu 0.799 0.598 0.750
6 Tb 0.353 0.706 0.532
7 Er 0.956 0.913 0.250
8 Cu 0.201 0.402 0.250

---

# 6
DFT (PBE) results for a relaxed Tb2ErCu crystal.

Values from the calculation:
* ΔH_f (0 K): -8.5 kJ/mol of atoms
* energy relative to the lowest polymorph listed for this composition: 0.0168 eV per atom

abc: 3.505 3.505 8.594
angles: 90.00 90.00 90.00
Positions (direct):
1 Tb 0.000 0.000 0.800
2 Cu 0.500 0.500 0.000
3 Tb 0.000 0.000 0.200
4 Er 0.500 0.500 0.500

---

# 7
DFT (PBE) results for a relaxed TbEr3Cu2 crystal.

Values from the calculation:
* ΔH_f (0 K): 0.6 kJ/mol of atoms
* energy relative to the lowest polymorph listed for this composition: 0.1764 eV per atom

abc: 6.753 7.107 8.276
angles: 115.43 114.08 90.00
Positions (direct):
1 Er 0.765 0.515 0.530
2 Tb 0.000 0.000 0.000
3 Er 0.500 0.750 0.000
4 Cu 0.434 0.642 0.284
5 Er 0.765 0.015 0.530
6 Cu 0.566 0.358 0.716
7 Tb 0.000 0.500 0.000
8 Cu 0.850 0.142 0.284
9 Er 0.235 0.485 0.470
10 Cu 0.150 0.858 0.716
11 Er 0.500 0.250 0.000
12 Er 0.235 0.985 0.470

---

# 8
DFT (PBE) results for a relaxed TbEr3Cu2 crystal.

Values from the calculation:
* ΔH_f (0 K): -16.4 kJ/mol of atoms
* energy relative to the lowest polymorph listed for this composition: 0.0000 eV per atom

abc: 3.458 3.458 12.015
angles: 90.00 90.00 90.00
Positions (direct):
1 Cu 0.500 0.500 0.857
2 Er 0.000 0.000 0.283
3 Cu 0.500 0.500 0.143
4 Tb 0.500 0.500 0.500
5 Er 0.000 0.000 0.717
6 Er 0.000 0.000 0.000